Record 1
Crystalline AlSi2Tc at its relaxed geometry, computed with GGA-PBEsol.

Summary:
Its total energy is -6.78 eV/atom. The formation energy without anion corrections is -6 kJ/mol of atoms.

abc: 2.9121 2.9121 7.9714
angles: 79.48 79.48 60.00
With the nearest neighbours (Å) after each atom.
Atoms (fractional coordinates):
Si (0.7534, 0.7534, 0.7399)  3 Tc 2.43, 3 Si 2.56
Si (0.0040, 0.0040, 0.9879)  3 Si 2.56, 3 Al 2.69
Tc (0.4952, 0.4952, 0.5143)  3 Si 2.43, 3 Al 2.61
Al (0.2473, 0.2473, 0.2580)  3 Tc 2.61, 3 Si 2.69, 6 Al 2.91

***

Record 2
Crystalline CsCaSc3 at its relaxed geometry, computed with GGA-PBEsol.

Summary:
Its total energy is -3.54 eV/atom. The value obtained for the energy of formation from the pure elements is 1.04 eV per atom.

abc: 5.3456 5.3456 5.3456
angles: 90.00 90.00 90.00
With the nearest neighbours (Å) after each atom.
Atoms (fractional coordinates):
Cs (0.0000, 0.0000, 0.0000)  6 Sc 2.67
Ca (0.5000, 0.5000, 0.5000)  12 Sc 3.78
Sc (0.0000, 0.5000, 0.0000)  2 Cs 2.67
Sc (0.5000, 0.0000, 0.0000)  2 Cs 2.67
Sc (0.0000, 0.0000, 0.5000)  2 Cs 2.67

***

Record 3
Crystalline InHgPO2 at its relaxed geometry, computed with GGA-PBEsol.

Summary:
Its total energy is -3.55 eV/atom. The formation energy without anion corrections is 40 kJ/mol of atoms.

abc: 4.0931 4.0931 5.1080
angles: 90.00 90.00 90.00
With the nearest neighbours (Å) after each atom.
Atoms (fractional coordinates):
In (0.5000, 0.5000, 0.5000)  4 P 2.89
Hg (0.0000, 0.0000, 0.0000)  4 O 2.05
O (0.5000, 0.0000, 0.0000)  2 Hg 2.05
O (0.0000, 0.5000, 0.0000)  2 Hg 2.05
P (0.0000, 0.0000, 0.5000)  2 Hg 2.55

***

Record 4
Crystalline Mg2MnCl at its relaxed geometry, computed with GGA-PBEsol.

Summary:
Its total energy is -3.60 eV/atom. The formation energy without anion corrections is 19 kJ/mol of atoms.

abc: 4.1323 4.1323 5.4239
angles: 112.39 112.39 90.00
With the nearest neighbours (Å) after each atom.
Atoms (fractional coordinates):
Mg (0.7500, 0.2500, 0.5000)  4 Mg 2.92, 4 Cl 3.08, 4 Mn 3.08
Mg (0.2500, 0.7500, 0.5000)  4 Mg 2.92, 4 Mn 3.08, 4 Cl 3.08
Mn (0.5000, 0.5000, 0.0000)  4 Cl 2.92, 8 Mg 3.08
Cl (0.0000, 0.0000, 0.0000)  4 Mn 2.92, 8 Mg 3.08